(1)
# LiAc2CeSe6, relaxed, DFT PBE
data_LiAc2CeSe6
_chemical_formula_sum 'Li2 Ac4 Ce2 Se12'
_space_group_name_H-M_alt 'P 1 21/c 1'
_space_group_IT_number 14
_space_group_name_Hall '-P 2ybc'
_cell_length_a 7.230
_cell_length_b 7.946
_cell_length_c 11.852
_cell_angle_alpha 90.00
_cell_angle_beta 122.74
_cell_angle_gamma 90.00
loop_
_atom_site_label
_atom_site_fract_x
_atom_site_fract_y
_atom_site_fract_z
Li1 0.000 0.000 0.000
Ac1 0.201 0.104 0.740
Ce1 0.500 0.000 0.500
Se1 0.121 0.184 0.441
Se2 0.265 0.687 0.442
Se3 0.371 0.033 0.233
# E_form (uncorrected) = -1.6145 eV/atom



(2)
# LiAcCeSe4, relaxed, DFT PBE
data_LiAcCeSe4
_chemical_formula_sum 'Li2 Ac2 Ce2 Se8'
_space_group_name_H-M_alt 'P 1 21/m 1'
_space_group_IT_number 11
_space_group_name_Hall '-P 2yb'
_cell_length_a 7.199
_cell_length_b 6.027
_cell_length_c 8.739
_cell_angle_alpha 90.00
_cell_angle_beta 107.37
_cell_angle_gamma 90.00
loop_
_atom_site_label
_atom_site_fract_x
_atom_site_fract_y
_atom_site_fract_z
Li1 0.241 0.250 0.180
Ac1 0.235 0.750 0.435
Ce1 0.246 0.750 0.937
Se1 0.064 0.250 0.898
Se2 0.067 0.250 0.380
Se3 0.483 0.010 0.758
# E_form (uncorrected) = -1.6289 eV/atom